# Rb4CeNp3Se8 GGA-PBE optimized geometry
# Crystal system: monoclinic
# DFT total energy (eV per formula unit): -99.56
# DOS at the Fermi energy (states/eV per atom): 1.59
# M_tot (μB/atom): 0.813
# E_form (uncorrected) (eV/atom): -1.441
data_Rb4CeNp3Se8
_cell_length_a 15.094
_cell_length_b 8.682
_cell_length_c 9.437
_cell_angle_alpha 90.00
_cell_angle_beta 122.24
_cell_angle_gamma 90.00
_symmetry_space_group_name_H-M 'C 1 2/m 1'
_symmetry_Int_Tables_number 12
loop_
_symmetry_equiv_pos_as_xyz
'x,y,z'
'-x,-y,-z'
'-x,y,-z'
'x,-y,z'
'x+1/2,y+1/2,z'
'-x+1/2,-y+1/2,-z'
'-x+1/2,y+1/2,-z'
'x+1/2,-y+1/2,z'
loop_
_atom_site_label
_atom_site_type_symbol
_atom_site_fract_x
_atom_site_fract_y
_atom_site_fract_z
Rb1 Rb 0.000 0.000 0.000
Rb2 Rb 0.000 0.500 0.000
Rb3 Rb 0.250 0.250 0.000
Ce1 Ce 0.000 0.000 0.500
Np1 Np 0.000 0.500 0.500
Np2 Np 0.250 0.250 0.500
Se1 Se 0.018 0.251 0.302
Se2 Se 0.232 0.500 0.695
Se3 Se 0.234 0.000 0.696

# Rb4Ce3NpSe8 GGA-PBE optimized geometry
# Crystal system: trigonal
# DFT total energy (eV per formula unit): -87.47
# DOS at the Fermi energy (states/eV per atom): 1.59
# M_tot (μB/atom): 0.438
# E_form (uncorrected) (eV/atom): -1.562
data_Rb4Ce3NpSe8
_cell_length_a 8.7703
_cell_length_b 8.7703
_cell_length_c 23.9573
_cell_angle_alpha 90.00
_cell_angle_beta 90.00
_cell_angle_gamma 120.00
_symmetry_space_group_name_H-M 'R -3 m'
_symmetry_Int_Tables_number 166
_symmetry_space_group_name_Hall '-R 3 2"'
loop_
_atom_site_label
_atom_site_type_symbol
_atom_site_fract_x
_atom_site_fract_y
_atom_site_fract_z
Rb1 Rb 0.0000 0.0000 0.0000
Rb2 Rb 0.0000 0.5000 0.0000
Ce1 Ce 0.0000 0.5000 0.5000
Np1 Np 0.0000 0.0000 0.5000
Se1 Se 0.0000 0.0000 0.2334
Se2 Se 0.0028 0.5014 0.2326

# Rb2CeNp2Se6 GGA-PBE optimized geometry
# Crystal system: monoclinic
# DFT total energy (eV per formula unit): -69.91
# DOS at the Fermi energy (states/eV per atom): 2.36
# M_tot (μB/atom): 0.727
# E_form (uncorrected) (eV/atom): -1.387
data_Rb2CeNp2Se6
_cell_length_a 7.358
_cell_length_b 12.798
_cell_length_c 8.512
_cell_angle_alpha 90.00
_cell_angle_beta 106.58
_cell_angle_gamma 90.00
_symmetry_space_group_name_H-M 'C 1 2/m 1'
_symmetry_Int_Tables_number 12
loop_
_symmetry_equiv_pos_as_xyz
'x,y,z'
'-x,-y,-z'
'-x,y,-z'
'x,-y,z'
'x+1/2,y+1/2,z'
'-x+1/2,-y+1/2,-z'
'-x+1/2,y+1/2,-z'
'x+1/2,-y+1/2,z'
loop_
_atom_site_label
_atom_site_type_symbol
_atom_site_fract_x
_atom_site_fract_y
_atom_site_fract_z
Rb1 Rb 0.000 0.166 0.000
Ce1 Ce 0.000 0.000 0.500
Np1 Np 0.000 0.334 0.500
Se1 Se 0.224 0.500 0.691
Se2 Se 0.232 0.170 0.690

# Rb2CeNpSe4 GGA-PBE optimized geometry
# Crystal system: monoclinic
# DFT total energy (eV per formula unit): -46.37
# DOS at the Fermi energy (states/eV per atom): 1.66
# M_tot (μB/atom): 0.625
# E_form (uncorrected) (eV/atom): -1.453
data_Rb2CeNpSe4
_cell_length_a 7.545
_cell_length_b 4.354
_cell_length_c 8.381
_cell_angle_alpha 90.00
_cell_angle_beta 107.52
_cell_angle_gamma 90.00
_symmetry_space_group_name_H-M 'P 1 2/m 1'
_symmetry_Int_Tables_number 10
loop_
_symmetry_equiv_pos_as_xyz
'x,y,z'
'-x,-y,-z'
'-x,y,-z'
'x,-y,z'
loop_
_atom_site_label
_atom_site_type_symbol
_atom_site_fract_x
_atom_site_fract_y
_atom_site_fract_z
Rb1 Rb 0.000 0.000 0.000
Rb2 Rb 0.500 0.500 0.000
Ce1 Ce 0.000 0.500 0.500
Np1 Np 0.500 0.000 0.500
Se1 Se 0.236 0.000 0.699
Se2 Se 0.272 0.500 0.304

# Rb2Ce2NpSe6 GGA-PBE optimized geometry
# Crystal system: monoclinic
# DFT total energy (eV per formula unit): -64.61
# DOS at the Fermi energy (states/eV per atom): 1.57
# M_tot (μB/atom): 0.455
# E_form (uncorrected) (eV/atom): -1.541
data_Rb2Ce2NpSe6
_cell_length_a 7.456
_cell_length_b 12.878
_cell_length_c 8.502
_cell_angle_alpha 90.00
_cell_angle_beta 107.02
_cell_angle_gamma 90.00
_symmetry_space_group_name_H-M 'C 1 2/m 1'
_symmetry_Int_Tables_number 12
loop_
_symmetry_equiv_pos_as_xyz
'x,y,z'
'-x,-y,-z'
'-x,y,-z'
'x,-y,z'
'x+1/2,y+1/2,z'
'-x+1/2,-y+1/2,-z'
'-x+1/2,y+1/2,-z'
'x+1/2,-y+1/2,z'
loop_
_atom_site_label
_atom_site_type_symbol
_atom_site_fract_x
_atom_site_fract_y
_atom_site_fract_z
Rb1 Rb 0.000 0.168 0.000
Ce1 Ce 0.000 0.334 0.500
Np1 Np 0.000 0.000 0.500
Se1 Se 0.228 0.165 0.691
Se2 Se 0.237 0.500 0.691

# Rb3Ce2NpSe6 GGA-PBE optimized geometry
# Crystal system: monoclinic
# DFT total energy (eV per formula unit): -66.92
# DOS at the Fermi energy (states/eV per atom): 1.59
# M_tot (μB/atom): 0.500
# E_form (uncorrected) (eV/atom): -1.525
data_Rb3Ce2NpSe6
_cell_length_a 7.579
_cell_length_b 13.128
_cell_length_c 8.378
_cell_angle_alpha 90.00
_cell_angle_beta 107.55
_cell_angle_gamma 90.00
_symmetry_space_group_name_H-M 'C 1 2/m 1'
_symmetry_Int_Tables_number 12
loop_
_symmetry_equiv_pos_as_xyz
'x,y,z'
'-x,-y,-z'
'-x,y,-z'
'x,-y,z'
'x+1/2,y+1/2,z'
'-x+1/2,-y+1/2,-z'
'-x+1/2,y+1/2,-z'
'x+1/2,-y+1/2,z'
loop_
_atom_site_label
_atom_site_type_symbol
_atom_site_fract_x
_atom_site_fract_y
_atom_site_fract_z
Rb1 Rb 0.000 0.000 0.000
Rb2 Rb 0.000 0.333 0.000
Ce1 Ce 0.000 0.167 0.500
Np1 Np 0.000 0.500 0.500
Se1 Se 0.231 0.335 0.698
Se2 Se 0.236 0.000 0.698

# Rb3CeNp2Te6 GGA-PBE optimized geometry
# Crystal system: monoclinic
# DFT total energy (eV per formula unit): -65.95
# DOS at the Fermi energy (states/eV per atom): 2.11
# M_tot (μB/atom): 0.750
# E_form (uncorrected) (eV/atom): -1.032
data_Rb3CeNp2Te6
_cell_length_a 8.020
_cell_length_b 13.892
_cell_length_c 8.951
_cell_angle_alpha 90.00
_cell_angle_beta 107.38
_cell_angle_gamma 90.00
_symmetry_space_group_name_H-M 'C 1 2/m 1'
_symmetry_Int_Tables_number 12
loop_
_symmetry_equiv_pos_as_xyz
'x,y,z'
'-x,-y,-z'
'-x,y,-z'
'x,-y,z'
'x+1/2,y+1/2,z'
'-x+1/2,-y+1/2,-z'
'-x+1/2,y+1/2,-z'
'x+1/2,-y+1/2,z'
loop_
_atom_site_label
_atom_site_type_symbol
_atom_site_fract_x
_atom_site_fract_y
_atom_site_fract_z
Rb1 Rb 0.000 0.000 0.000
Rb2 Rb 0.000 0.335 0.000
Ce1 Ce 0.000 0.500 0.500
Np1 Np 0.000 0.167 0.500
Te1 Te 0.230 0.000 0.701
Te2 Te 0.236 0.332 0.702

# CeNpRe GGA-PBE optimized geometry
# Crystal system: tetragonal
# DFT total energy (eV per formula unit): -30.66
# DOS at the Fermi energy (states/eV per atom): 2.69
# M_tot (μB/atom): 1.100
data_CeNpRe
_cell_length_a 3.402
_cell_length_b 3.402
_cell_length_c 10.523
_cell_angle_alpha 90.00
_cell_angle_beta 90.00
_cell_angle_gamma 90.00
_symmetry_space_group_name_H-M 'I 4 m m'
_symmetry_Int_Tables_number 107
_symmetry_space_group_name_Hall 'I 4 -2'
loop_
_atom_site_label
_atom_site_type_symbol
_atom_site_fract_x
_atom_site_fract_y
_atom_site_fract_z
Ce1 Ce 0.000 0.000 0.000
Np1 Np 0.000 0.000 0.668
Re1 Re 0.000 0.000 0.320

# CeNpRhS4 GGA-PBE optimized geometry
# Crystal system: monoclinic
# DFT total energy (eV per formula unit): -51.63
# DOS at the Fermi energy (states/eV per atom): 1.37
# M_tot (μB/atom): 0.467
# E_form (uncorrected) (eV/atom): -1.271
data_CeNpRhS4
_cell_length_a 6.495
_cell_length_b 5.822
_cell_length_c 7.725
_cell_angle_alpha 90.00
_cell_angle_beta 107.28
_cell_angle_gamma 90.00
_symmetry_space_group_name_H-M 'P 1 21/m 1'
_symmetry_Int_Tables_number 11
loop_
_symmetry_equiv_pos_as_xyz
'x,y,z'
'-x,-y,-z'
'-x,y+1/2,-z'
'x,-y+1/2,z'
loop_
_atom_site_label
_atom_site_type_symbol
_atom_site_fract_x
_atom_site_fract_y
_atom_site_fract_z
Ce1 Ce 0.249 0.250 0.437
Np1 Np 0.260 0.250 0.941
Rh1 Rh 0.265 0.750 0.188
S1 S 0.057 0.750 0.386
S2 S 0.057 0.750 0.889
S3 S 0.468 0.518 0.749

# Ce2NpRhS5 GGA-PBE optimized geometry
# Crystal system: tetragonal
# DFT total energy (eV per formula unit): -65.27
# DOS at the Fermi energy (states/eV per atom): 1.15
# M_tot (μB/atom): 0.445
# E_form (uncorrected) (eV/atom): -1.386
data_Ce2NpRhS5
_cell_length_a 7.511
_cell_length_b 7.511
_cell_length_c 12.815
_cell_angle_alpha 90.00
_cell_angle_beta 90.00
_cell_angle_gamma 90.00
_symmetry_space_group_name_H-M 'I 4/m c m'
_symmetry_Int_Tables_number 140
_symmetry_space_group_name_Hall '-I 4 2c'
loop_
_atom_site_label
_atom_site_type_symbol
_atom_site_fract_x
_atom_site_fract_y
_atom_site_fract_z
Ce1 Ce 0.151 0.349 0.000
Np1 Np 0.000 0.000 0.250
Rh1 Rh 0.000 0.500 0.250
S1 S 0.000 0.000 0.000
S2 S 0.173 0.327 0.357

# CeNp2RhS4 GGA-PBE optimized geometry
# Crystal system: tetragonal
# DFT total energy (eV per formula unit): -65.16
# DOS at the Fermi energy (states/eV per atom): 1.97
# M_tot (μB/atom): 1.104
# E_form (uncorrected) (eV/atom): -1.185
data_CeNp2RhS4
_cell_length_a 6.799
_cell_length_b 6.799
_cell_length_c 6.652
_cell_angle_alpha 90.00
_cell_angle_beta 90.00
_cell_angle_gamma 90.00
_symmetry_space_group_name_H-M 'I -4 2 m'
_symmetry_Int_Tables_number 121
_symmetry_space_group_name_Hall 'I -4 2'
loop_
_atom_site_label
_atom_site_type_symbol
_atom_site_fract_x
_atom_site_fract_y
_atom_site_fract_z
Ce1 Ce 0.000 0.000 0.000
Np1 Np 0.000 0.500 0.000
Rh1 Rh 0.000 0.000 0.500
S1 S 0.207 0.207 0.698

Copy entry 3 word for word.
# Rb2CeNp2Se6 GGA-PBE optimized geometry
# Crystal system: monoclinic
# DFT total energy (eV per formula unit): -69.91
# DOS at the Fermi energy (states/eV per atom): 2.36
# M_tot (μB/atom): 0.727
# E_form (uncorrected) (eV/atom): -1.387
data_Rb2CeNp2Se6
_cell_length_a 7.358
_cell_length_b 12.798
_cell_length_c 8.512
_cell_angle_alpha 90.00
_cell_angle_beta 106.58
_cell_angle_gamma 90.00
_symmetry_space_group_name_H-M 'C 1 2/m 1'
_symmetry_Int_Tables_number 12
loop_
_symmetry_equiv_pos_as_xyz
'x,y,z'
'-x,-y,-z'
'-x,y,-z'
'x,-y,z'
'x+1/2,y+1/2,z'
'-x+1/2,-y+1/2,-z'
'-x+1/2,y+1/2,-z'
'x+1/2,-y+1/2,z'
loop_
_atom_site_label
_atom_site_type_symbol
_atom_site_fract_x
_atom_site_fract_y
_atom_site_fract_z
Rb1 Rb 0.000 0.166 0.000
Ce1 Ce 0.000 0.000 0.500
Np1 Np 0.000 0.334 0.500
Se1 Se 0.224 0.500 0.691
Se2 Se 0.232 0.170 0.690